Below is a relaxed structure of Dy5ErTh2, with properties calculated at the PBE level.

The structure in POSCAR format:
```
Dy5ErTh2
1.0
3.5099 0.0000 0.0000
1.7550 8.6226 -0.0895
1.7550 1.4963 8.4923
Dy Th Er
5 2 1
direct
0.6302 0.1348 0.6048
0.6302 0.6048 0.1348
0.0000 0.5000 0.5000
0.3698 0.8652 0.3952
0.3698 0.3952 0.8652
0.7418 0.7582 0.7582
0.2582 0.2418 0.2418
0.0000 0.0000 0.0000
```

Energy relative to the elements, eV/atom: 0.099
Calculated volume, A^3/atom: 32.2
Symmetry: Immm, No. 71